No. 1
DFT (PBE) results for crystalline PmInSiPd at its relaxed geometry.

Cell and atoms, written as extended XYZ:
```
4
Lattice="4.9104 0.0000 0.0000 2.4552 4.2525 0.0000 2.4552 1.4175 4.0093" Properties=species:S:1:pos:R:3 pbc="T T T"
In 4.9104 2.8350 2.0046
Pm 0.0000 0.0000 0.0000
Pd 7.3655 4.2525 3.0070
Si 2.4552 1.4175 1.0023
```

Calculated values
E_tot = -19.83 eV per cell
energy relative to the elements, uncorrected = -432 meV/atom
space group = No. 216

=====

No. 2
DFT (PBE) results for crystalline PmSmInPd at its relaxed geometry.

Cell and atoms, written as extended XYZ:
```
4
Lattice="-1.8713 0.0192 -4.9389 0.6059 -4.2547 -3.0701 -4.1834 -2.9716 -1.2505" Properties=species:S:1:pos:R:3 pbc="T T T"
Pm -2.7244 -3.6036 -4.6297
Sm 0.0000 0.0000 0.0000
In -1.3622 -1.8018 -2.3149
Pd -4.0866 -5.4053 -6.9446
```

Calculated values
E_form = -0.544 eV per atom
E_tot = -19.58 eV per cell
space group = No. 216